{
  "formula": "SmGdAsO",
  "functional": "PBE",
  "state": "optimized geometry",
  "spacegroup": "Pmc2_1, No. 26",
  "energy_ev_per_atom": -6.70,
  "magnetic_moment_mub_per_fu": 0.007,
  "lattice": [[4.256, 0.000, 0.000], [0.000, 7.730, 0.000], [0.000, 0.000, 6.009]],
  "species": ["Sm", "Sm", "Gd", "Gd", "As", "As", "O", "O"],
  "fractional_positions": [[0.000, 0.207, 0.000], [0.000, 0.793, 0.500], [0.500, 0.388, 0.571], [0.500, 0.612, 0.071], [0.000, 0.164, 0.493], [0.000, 0.836, 0.993], [0.500, 0.332, 0.938], [0.500, 0.668, 0.438]]
}

{
  "formula": "PrFeNi",
  "functional": "PBE",
  "state": "optimized geometry",
  "spacegroup": "F-43m, No. 216",
  "energy_ev_per_atom": -5.77,
  "e_form_ev_per_atom": 0.448,
  "magnetic_moment_mub_per_fu": 2.627,
  "lattice": [[6.225, 0.000, 0.000], [0.000, 6.225, 0.000], [0.000, 0.000, 6.225]],
  "species": ["Pr", "Pr", "Pr", "Pr", "Fe", "Fe", "Fe", "Fe", "Ni", "Ni", "Ni", "Ni"],
  "fractional_positions": [[0.000, 0.000, 0.000], [0.000, 0.500, 0.500], [0.500, 0.000, 0.500], [0.500, 0.500, 0.000], [0.250, 0.250, 0.750], [0.250, 0.750, 0.250], [0.750, 0.250, 0.250], [0.750, 0.750, 0.750], [0.000, 0.000, 0.500], [0.000, 0.500, 0.000], [0.500, 0.000, 0.000], [0.500, 0.500, 0.500]]
}

- Number 1 is which compound?
  SmGdAsO